(1)
Compound: Li2CdCoN
Source: Alexandria via LeMat-Bulk
Functional: GGA-PBE
Structure: relaxed

Output
SG = No. 123
VASP energy = -21.4 eV for the cell shown

abc: 4.256 4.256 3.515
angles: 90.00 90.00 90.00
Element x y z (fractional)
Li 0.000 0.500 0.000
Li 0.500 0.000 0.000
Cd 0.000 0.000 0.500
Co 0.500 0.500 0.500
N 0.500 0.500 0.000

***

(2)
Compound: LiCdCo2N
Source: Alexandria via LeMat-Bulk
Functional: GGA-PBE
Structure: relaxed

Output
SG = No. 123
VASP energy = -26.1 eV for the cell shown

abc: 3.719 3.719 4.168
angles: 90.00 90.00 90.00
Element x y z (fractional)
Li 0.000 0.000 0.000
Cd 0.500 0.500 0.000
Co 0.000 0.500 0.500
Co 0.500 0.000 0.500
N 0.000 0.000 0.500

***

(3)
Compound: LiNdCdCo
Source: Alexandria via LeMat-Bulk
Functional: GGA-PBE
Structure: relaxed

Output
SG = No. 216
Energy of formation from the pure elements = 0.010 eV per atom

abc: 4.770 4.770 4.770
angles: 60.00 60.00 60.00
Element x y z (fractional)
Li 0.000 0.000 0.000
Nd 0.750 0.750 0.750
Cd 0.250 0.250 0.250
Co 0.500 0.500 0.500

***

(4)
Compound: LiPrCdCo
Source: Alexandria via LeMat-Bulk
Functional: GGA-PBE
Structure: relaxed

Output
SG = No. 216
Energy of formation from the pure elements = 0.023 eV per atom

abc: 4.793 4.793 4.793
angles: 60.00 60.00 60.00
Element x y z (fractional)
Li 0.000 0.000 0.000
Pr 0.750 0.750 0.750
Cd 0.250 0.250 0.250
Co 0.500 0.500 0.500

***

(5)
Compound: Li2CdCoRh
Source: Alexandria via LeMat-Bulk
Functional: GGA-PBE
Structure: relaxed

Output
SG = No. 123
Energy of formation from the pure elements = 0.795 eV per atom

abc: 4.409 4.409 5.144
angles: 90.00 90.00 90.00
Element x y z (fractional)
Li 0.000 0.500 0.000
Li 0.500 0.000 0.000
Cd 0.000 0.000 0.500
Co 0.500 0.500 0.500
Rh 0.000 0.000 0.000

***

(6)
Compound: Li2CdCoS
Source: Alexandria via LeMat-Bulk
Functional: GGA-PBE
Structure: relaxed

Output
SG = No. 123
VASP energy = -13.0 eV for the cell shown

abc: 4.829 4.829 4.768
angles: 90.00 90.00 90.00
Element x y z (fractional)
Li 0.000 0.500 0.000
Li 0.500 0.000 0.000
Cd 0.000 0.000 0.000
Co 0.000 0.000 0.500
S 0.500 0.500 0.500

***

(7)
Compound: LiSmCdCo
Source: Alexandria via LeMat-Bulk
Functional: GGA-PBE
Structure: relaxed

Output
SG = No. 216
Energy of formation from the pure elements = -0.010 eV per atom

abc: 4.733 4.733 4.733
angles: 60.00 60.00 60.00
Element x y z (fractional)
Li 0.000 0.000 0.000
Sm 0.750 0.750 0.750
Cd 0.250 0.250 0.250
Co 0.500 0.500 0.500

***

(8)
Compound: LiTbCdCo
Source: Alexandria via LeMat-Bulk
Functional: GGA-PBE
Structure: relaxed

Output
SG = No. 216
Energy of formation from the pure elements = -0.039 eV per atom

abc: 4.683 4.683 4.683
angles: 60.00 60.00 60.00
Element x y z (fractional)
Li 0.000 0.000 0.000
Tb 0.250 0.250 0.250
Cd 0.750 0.750 0.750
Co 0.500 0.500 0.500

***

(9)
Compound: LiThCdCo
Source: Alexandria via LeMat-Bulk
Functional: GGA-PBE
Structure: relaxed

Output
SG = No. 216
Energy of formation from the pure elements = -0.004 eV per atom

abc: 4.759 4.759 4.759
angles: 60.00 60.00 60.00
Element x y z (fractional)
Li 0.000 0.000 0.000
Th 0.250 0.250 0.250
Cd 0.750 0.750 0.750
Co 0.500 0.500 0.500

***

(10)
Compound: LiTmCdCo
Source: Alexandria via LeMat-Bulk
Functional: GGA-PBE
Structure: relaxed

Output
SG = No. 216
Energy of formation from the pure elements = -0.061 eV per atom

abc: 4.631 4.631 4.631
angles: 60.00 60.00 60.00
Element x y z (fractional)
Li 0.000 0.000 0.000
Tm 0.750 0.750 0.750
Cd 0.250 0.250 0.250
Co 0.500 0.500 0.500

***

(11)
Compound: Lu2CdCo
Source: Alexandria via LeMat-Bulk
Functional: GGA-PBE
Structure: relaxed

Output
SG = No. 225
Energy of formation from the pure elements = -0.178 eV per atom
Polymorph energy (0 for the lowest one) = 0.137 eV/atom

abc: 4.920 4.920 4.920
angles: 60.00 60.00 60.00
Element x y z (fractional)
Lu 0.250 0.250 0.250
Lu 0.750 0.750 0.750
Cd 0.000 0.000 0.000
Co 0.500 0.500 0.500

***

(12)
Compound: Lu3CdCo
Source: Alexandria via LeMat-Bulk
Functional: GGA-PBE
Structure: relaxed

Output
SG = No. 221
Energy of formation from the pure elements = -0.129 eV per atom

abc: 5.059 5.059 5.059
angles: 90.00 90.00 90.00
Element x y z (fractional)
Lu 0.000 0.000 0.500
Lu 0.000 0.500 0.000
Lu 0.500 0.000 0.000
Cd 0.500 0.500 0.500
Co 0.000 0.000 0.000

***

Listing Fermi-level density of states for the structures above in their given order: 3.0, 2.5, 3.0, 2.9, 7.9, 2.9, 3.0, 2.6, 5.0, 2.1, 2.1, 4.6 states/eV/cell.